Computed, not measured: a relaxed structure of CuHgS2 at the PBE level of DFT.

Cell: 3.8865 3.8865 6.2819 Å, 90.00 90.00 120.00°
Closest atoms and distances in Å follow each position.
Element x y z (fractional)
Hg 0.0000 0.0000 0.9682  3 S 2.57
S 0.6667 0.3333 0.3010  3 Cu 2.36
S 0.3333 0.6667 0.7701  1 Cu 2.23
Cu 0.3333 0.6667 0.4156  4 S 2.23-2.36

Output
* space-group type: P3m1 (156)
* DOS(E_F): 3.0 states/eV/f.u.
* raw formation energy: 26 meV per atom
* VASP energy: -12.55 eV/cell

---

Computed, not measured: a relaxed structure of CuHgS2 at the PBE level of DFT.

Cell: 7.4823 7.4823 7.4823 Å, 28.61 28.61 28.61°
Closest atoms and distances in Å follow each position.
Element x y z (fractional)
S 0.8886 0.8886 0.8886  1 Hg 2.40, 3 Cu 2.44
S 0.1114 0.1114 0.1114  1 Hg 2.40, 3 Cu 2.44
Cu 0.5000 0.5000 0.5000  6 S 2.44
Hg 0.0000 0.0000 0.0000  2 S 2.40

Output
* space-group type: R-3m (166)
* DOS(E_F): 2.7 states/eV/f.u.
* raw formation energy: -5 meV per atom
* VASP energy: -12.67 eV/cell